No. 1
{"formula": "TlNiAs2Se", "functional": "PBE-GGA", "state": "optimized geometry", "crystal_system": "tetragonal", "cell": [[5.278, 0.000, 0.000], [0.000, 5.278, 0.000], [0.000, 0.000, 5.350]], "species": ["Tl", "Ni", "As", "As", "Se"], "frac_coords": [[0.000, 0.000, 0.000], [0.500, 0.500, 0.500], [0.500, 0.000, 0.000], [0.000, 0.500, 0.000], [0.000, 0.000, 0.500]]}



No. 2
{"formula": "TlNiAs2Se", "functional": "PBE-GGA", "state": "optimized geometry", "crystal_system": "tetragonal", "cell": [[-2.816, -3.010, 2.100], [0.713, -3.045, -3.408], [4.107, -1.998, 2.644]], "species": ["As", "As", "Tl", "Ni", "Se"], "frac_coords": [[0.000, 0.500, 0.000], [0.500, 0.000, 0.000], [0.500, 0.500, 0.500], [0.000, 0.000, 0.000], [0.000, 0.000, 0.500]]}



No. 3
{"formula": "TlNiAsSe2", "functional": "PBE-GGA", "state": "optimized geometry", "crystal_system": "tetragonal", "cell": [[5.398, 0.000, 0.000], [0.000, 5.398, 0.000], [0.000, 0.000, 5.284]], "species": ["Ni", "Se", "Se", "As", "Tl"], "frac_coords": [[0.500, 0.500, 0.500], [0.500, 0.000, 0.000], [0.000, 0.500, 0.000], [0.000, 0.000, 0.500], [0.000, 0.000, 0.000]]}



No. 4
{"formula": "TlNiAsSe3", "functional": "PBE-GGA", "state": "optimized geometry", "crystal_system": "monoclinic", "cell": [[-0.549, -0.974, -3.786], [9.116, -0.631, -1.159], [-2.863, -8.280, 2.544]], "species": ["Se", "Se", "Se", "Se", "Se", "Se", "Ni", "Ni", "As", "As", "Tl", "Tl"], "frac_coords": [[0.750, 0.860, 0.151], [0.250, 0.817, 0.489], [0.250, 0.140, 0.849], [0.250, 0.553, 0.849], [0.750, 0.447, 0.151], [0.750, 0.183, 0.511], [0.750, 0.920, 0.424], [0.250, 0.080, 0.576], [0.750, 0.343, 0.872], [0.250, 0.657, 0.128], [0.750, 0.826, 0.787], [0.250, 0.174, 0.213]]}



No. 5
{"formula": "UNiAsSe", "functional": "PBE-GGA", "state": "optimized geometry", "crystal_system": "tetragonal", "cell": [[4.093, 0.000, 0.000], [0.000, 4.093, 0.000], [0.000, 0.000, 8.680]], "species": ["Ni", "Ni", "U", "U", "As", "As", "Se", "Se"], "frac_coords": [[0.500, 0.500, 0.000], [0.000, 0.000, 0.000], [0.000, 0.500, 0.255], [0.500, 0.000, 0.745], [0.500, 0.000, 0.155], [0.000, 0.500, 0.845], [0.000, 0.000, 0.500], [0.500, 0.500, 0.500]]}



No. 6
{"formula": "VNiAsSe2", "functional": "PBE-GGA", "state": "optimized geometry", "crystal_system": "tetragonal", "cell": [[-0.844, 2.218, 4.121], [1.867, -3.681, 2.363], [3.965, 1.882, -0.201]], "species": ["As", "Se", "Se", "Ni", "V"], "frac_coords": [[0.000, 0.000, 0.500], [0.500, 0.000, 0.000], [0.000, 0.500, 0.000], [0.000, 0.000, 0.000], [0.500, 0.500, 0.500]]}



No. 7
{"formula": "VNiAsSe2", "functional": "PBE-GGA", "state": "optimized geometry", "crystal_system": "tetragonal", "cell": [[4.732, 0.000, 0.000], [0.000, 4.732, 0.000], [0.000, 0.000, 4.754]], "species": ["As", "Se", "Se", "Ni", "V"], "frac_coords": [[0.000, 0.000, 0.500], [0.500, 0.000, 0.000], [0.000, 0.500, 0.000], [0.500, 0.500, 0.500], [0.000, 0.000, 0.000]]}



No. 8
{"formula": "ZnNiAsSe2", "functional": "PBE-GGA", "state": "optimized geometry", "crystal_system": "tetragonal", "cell": [[4.943, 0.000, 0.000], [0.000, 4.943, 0.000], [0.000, 0.000, 4.345]], "species": ["As", "Se", "Se", "Ni", "Zn"], "frac_coords": [[0.000, 0.000, 0.500], [0.000, 0.500, 0.000], [0.500, 0.000, 0.000], [0.000, 0.000, 0.000], [0.500, 0.500, 0.500]]}



No. 9
{"formula": "ZnNiAs2Se", "functional": "PBE-GGA", "state": "optimized geometry", "crystal_system": "tetragonal", "cell": [[-2.953, 3.133, 1.423], [-2.040, -3.104, 2.600], [3.074, 1.168, 3.807]], "species": ["As", "As", "Se", "Ni", "Zn"], "frac_coords": [[0.000, 0.500, 0.000], [0.500, 0.000, 0.000], [0.000, 0.000, 0.500], [0.000, 0.000, 0.000], [0.500, 0.500, 0.500]]}



No. 10
{"formula": "ZnNiAs2Se", "functional": "PBE-GGA", "state": "optimized geometry", "crystal_system": "tetragonal", "cell": [[5.047, 0.000, 0.000], [0.000, 5.047, 0.000], [0.000, 0.000, 4.661]], "species": ["Zn", "Ni", "As", "As", "Se"], "frac_coords": [[0.000, 0.000, 0.500], [0.500, 0.500, 0.500], [0.000, 0.500, 0.000], [0.500, 0.000, 0.000], [0.000, 0.000, 0.000]]}



No. 11
{"formula": "ZrNiAsSe2", "functional": "PBE-GGA", "state": "optimized geometry", "crystal_system": "tetragonal", "cell": [[-1.199, 4.283, -1.493], [-2.257, 0.776, 4.039], [3.811, 1.695, 1.804]], "species": ["Se", "Se", "Zr", "As", "Ni"], "frac_coords": [[0.500, 0.000, 0.000], [0.000, 0.500, 0.000], [0.500, 0.500, 0.500], [0.000, 0.000, 0.500], [0.000, 0.000, 0.000]]}



No. 12
{"formula": "Zr2NiAsSe", "functional": "PBE-GGA", "state": "optimized geometry", "crystal_system": "tetragonal", "cell": [[-0.908, -4.506, 2.061], [-0.891, -1.523, -3.720], [4.834, -1.266, -0.639]], "species": ["Ni", "As", "Zr", "Zr", "Se"], "frac_coords": [[0.000, 0.000, 0.000], [0.000, 0.500, 0.000], [0.500, 0.000, 0.000], [0.000, 0.000, 0.500], [0.500, 0.500, 0.500]]}



No. 13
{"formula": "ZrNiAs2Se", "functional": "PBE-GGA", "state": "optimized geometry", "crystal_system": "tetragonal", "cell": [[-0.678, 3.252, 3.979], [-5.125, -0.132, -0.766], [-0.375, -3.989, 3.197]], "species": ["Se", "As", "As", "Zr", "Ni"], "frac_coords": [[0.000, 0.000, 0.500], [0.000, 0.500, 0.000], [0.500, 0.000, 0.000], [0.000, 0.000, 0.000], [0.500, 0.500, 0.500]]}



No. 14
{"formula": "ZrNiAs2Se", "functional": "PBE-GGA", "state": "optimized geometry", "crystal_system": "tetragonal", "cell": [[-1.505, 3.286, -2.735], [0.155, -2.855, -3.517], [-4.539, -1.340, 0.888]], "species": ["As", "As", "Se", "Ni", "Zr"], "frac_coords": [[0.500, 0.000, 0.000], [0.000, 0.500, 0.000], [0.000, 0.000, 0.500], [0.000, 0.000, 0.000], [0.500, 0.500, 0.500]]}



No. 15
{"formula": "ZrNiAsSe2", "functional": "PBE-GGA", "state": "optimized geometry", "crystal_system": "tetragonal", "cell": [[5.152, 0.000, 0.000], [0.000, 5.224, 0.000], [0.000, 0.000, 5.152]], "species": ["Se", "Se", "Ni", "Zr", "As"], "frac_coords": [[0.500, 0.000, 0.000], [0.000, 0.000, 0.500], [0.500, 0.500, 0.500], [0.000, 0.000, 0.000], [0.000, 0.500, 0.000]]}



No. 16
{"formula": "Si2NiAs", "functional": "PBE-GGA", "state": "optimized geometry", "crystal_system": "monoclinic", "cell": [[-0.205, 1.808, 3.486], [-0.195, -1.481, 3.637], [5.050, 0.107, 2.018]], "species": ["Ni", "Si", "Si", "As"], "frac_coords": [[0.750, 0.750, 0.750], [0.493, 0.493, 0.566], [0.007, 0.007, 0.934], [0.250, 0.250, 0.250]]}



No. 17
{"formula": "Si2NiAs", "functional": "PBE-GGA", "state": "optimized geometry", "crystal_system": "orthorhombic", "cell": [[-0.535, 0.463, 2.633], [1.861, -2.252, 0.775], [5.322, 4.498, 0.290]], "species": ["Si", "Si", "As", "Ni"], "frac_coords": [[0.000, 0.000, 0.546], [0.000, 0.000, 0.954], [0.500, 0.500, 0.250], [0.500, 0.500, 0.750]]}



No. 18
{"formula": "SiNiAs2", "functional": "PBE-GGA", "state": "optimized geometry", "crystal_system": "tetragonal", "cell": [[-0.258, 2.461, 3.633], [2.797, -3.341, 0.607], [4.038, 1.516, 0.869]], "species": ["Ni", "As", "As", "Si"], "frac_coords": [[0.000, 0.500, 0.500], [0.500, 0.000, 0.500], [0.000, 0.000, 0.000], [0.500, 0.500, 0.000]]}



No. 19
{"formula": "Si2NiAs", "functional": "PBE-GGA", "state": "optimized geometry", "crystal_system": "orthorhombic", "cell": [[4.194, 0.000, 0.000], [0.000, 3.848, 0.036], [0.000, 0.812, 3.761]], "species": ["Si", "Si", "Ni", "As"], "frac_coords": [[0.000, 0.546, 0.546], [0.000, 0.954, 0.954], [0.500, 0.750, 0.750], [0.500, 0.250, 0.250]]}



No. 20
{"formula": "SiNiAs2", "functional": "PBE-GGA", "state": "optimized geometry", "crystal_system": "orthorhombic", "cell": [[-1.492, -5.750, -1.665], [3.221, -5.260, -0.137], [-1.566, 5.013, 3.238]], "species": ["Ni", "Si", "As", "As"], "frac_coords": [[0.750, 0.250, 0.500], [0.250, 0.750, 0.500], [0.595, 0.595, 0.000], [0.905, 0.905, 0.000]]}



Energy relative to the elements, uncorrected in eV per formula unit, matching the order above: 7.5 1.3 6.7 -1.2 -2.7 3.1 2.6 1.8 2.1 5.3 0.0 -1.0 2.9 0.3 2.0 0.3 0.5 0.6 0.4 0.0